[1]
Entry from the Alexandria database: a relaxed Cs4YTh3S8 crystal (GGA-PBE).

Summary:
Total magnetic moment: 0.00 μB per formula unit
Mass density: 5.4 g cm⁻³
DFT total energy: -5.761 eV per atom
Calculated volume: 30.41 Å³ per atom
Raw formation energy: -1.689 eV/atom

a = 8.2994 Å, b = 8.2994 Å, c = 24.4660 Å
α = 90.00°, β = 90.00°, γ = 120.00°
Last column: nearest neighbours and their distance in Å.
Space group R-3m (No. 166, hexagonal axes)
One atom of each set of equivalent atoms:
Cs 0.0000 0.0000 0.0000 [3 per cell]  6 S 3.52
Cs 0.0000 0.5000 0.0000 [9 per cell]  6 S 3.47-3.49
Y 0.0000 0.0000 0.5000 [3 per cell]  6 S 2.82
Th 0.0000 0.5000 0.5000 [9 per cell]  6 S 2.85-2.86
S 0.0000 0.0000 0.2306 [6 per cell]  3 Th 2.86
S 0.0035 0.5017 0.2291 [18 per cell]  1 Y 2.82, 2 Th 2.85

***

[2]
Entry from the Alexandria database: a relaxed Cs2ThZnS4 crystal (GGA-PBE).

Summary:
Total magnetic moment: 0.00 μB per formula unit
Mass density: 4.2 g cm⁻³
DFT total energy: -4.635 eV per atom
Calculated volume: 34.01 Å³ per atom
Raw formation energy: -1.271 eV/atom

a = 11.0387 Å, b = 12.5330 Å, c = 8.4149 Å
α = 90.00°, β = 110.79°, γ = 90.00°
Last column: nearest neighbours and their distance in Å.
Space group C2/c (No. 15)
One atom of each set of equivalent atoms:
Cs 0.0000 0.0000 0.0000 [4 per cell]  4 S 3.37-3.47
Cs 0.2500 0.2500 0.0000 [4 per cell]  6 S 3.41-3.65
Th 0.0000 0.5000 0.0000 [4 per cell]  6 S 2.77-2.96
Zn 0.2500 0.2500 0.5000 [4 per cell]  2 S 2.19
S 0.0679 0.2707 0.5443 [8 per cell]  1 Zn 2.19
S 0.1744 0.4895 0.3312 [8 per cell]  2 Th 2.77